Material: LiCoPO4
Method: DFT, PBE with a Hubbard U
State: optimized geometry

Relative energy among the computed polymorphs, eV per atom: 0.000
Raw total energy, eV/atom: -6.65
M_tot, μB per cell: 48.037
SG: Cc (9)
Crystal system: monoclinic

The structure in POSCAR format:
```
LiCoPO4
1.0
8.7671 -4.9599 0.0000
8.7671 4.9599 0.0000
-6.2053 0.0000 16.2699
Li Co P O
16 16 16 64
Direct
0.0300 0.9700 0.5000
0.0361 0.4717 0.5023
0.1525 0.2224 0.2512
0.1526 0.7212 0.2511
0.2224 0.1525 0.7512
0.2839 0.6513 0.7528
0.4157 0.5317 0.0027
0.4717 0.0361 0.0023
0.5256 0.9150 0.5017
0.5317 0.4157 0.5027
0.6513 0.2839 0.2528
0.6506 0.7838 0.2518
0.7212 0.1526 0.7511
0.7838 0.6506 0.7518
0.9150 0.5256 0.0017
0.9700 0.0300 0.0000
0.0320 0.1647 0.8780
0.0956 0.6630 0.8790
0.1626 0.5328 0.3776
0.1647 0.0320 0.3780
0.2829 0.4012 0.1279
0.2869 0.9006 0.1280
0.3447 0.7833 0.6282
0.4012 0.2829 0.6279
0.5328 0.1626 0.8776
0.5950 0.6625 0.8791
0.6625 0.5950 0.3791
0.6630 0.0956 0.3790
0.7833 0.3447 0.1282
0.7872 0.8458 0.1286
0.8458 0.7872 0.6286
0.9006 0.2869 0.6280
0.0333 0.9771 0.6889
0.0890 0.4772 0.6905
0.2251 0.3430 0.9389
0.2824 0.8430 0.9404
0.3410 0.7237 0.4383
0.3430 0.2251 0.4389
0.4752 0.5875 0.1903
0.4772 0.0890 0.1905
0.5327 0.9743 0.6886
0.5875 0.4752 0.6903
0.7237 0.3410 0.9383
0.7804 0.8403 0.9396
0.8403 0.7804 0.4396
0.8430 0.2824 0.4404
0.9743 0.5327 0.1886
0.9771 0.0333 0.1889
0.0089 0.6408 0.4527
0.0097 0.1392 0.4522
0.0100 0.5907 0.7653
0.0491 0.4850 0.1119
0.0534 0.9891 0.1134
0.0570 0.3604 0.9237
0.0750 0.0884 0.7654
0.0884 0.0750 0.2654
0.0880 0.5729 0.2642
0.0937 0.3147 0.6761
0.1392 0.0097 0.9522
0.1762 0.8101 0.6774
0.2161 0.5071 0.9523
0.2291 0.3044 0.3643
0.2298 0.8031 0.3632
0.2388 0.7318 0.8643
0.2598 0.4522 0.7053
0.2633 0.8279 0.5148
0.2713 0.3291 0.5174
0.3044 0.2291 0.8643
0.3117 0.5944 0.1764
0.3147 0.0937 0.1761
0.3263 0.7705 0.0173
0.3291 0.2713 0.0174
0.3604 0.0570 0.4237
0.3597 0.5552 0.4231
0.3967 0.9547 0.6996
0.4216 0.8563 0.9289
0.4522 0.2598 0.2053
0.4528 0.7573 0.2047
0.4839 0.5509 0.6128
0.4850 0.0491 0.6119
0.5051 0.7154 0.4527
0.5071 0.2161 0.4523
0.5090 0.5892 0.7651
0.5509 0.4839 0.1128
0.5552 0.3597 0.9231
0.5564 0.9870 0.1141
0.5729 0.0880 0.7642
0.5892 0.5090 0.2651
0.5907 0.0100 0.2653
0.5944 0.3117 0.6764
0.6408 0.0089 0.9527
0.6780 0.8092 0.6770
0.7154 0.5051 0.9527
0.7318 0.2388 0.3643
0.7336 0.7344 0.3618
0.7344 0.7336 0.8618
0.7573 0.4528 0.7047
0.7621 0.8221 0.5138
0.7705 0.3263 0.5173
0.8031 0.2298 0.8632
0.8092 0.6780 0.1770
0.8101 0.1762 0.1774
0.8221 0.7621 0.0138
0.8279 0.2633 0.0148
0.8518 0.9220 0.4298
0.8563 0.4216 0.4289
0.8947 0.9601 0.6987
0.9220 0.8518 0.9298
0.9547 0.3967 0.1996
0.9601 0.8947 0.1987
0.9870 0.5564 0.6141
0.9891 0.0534 0.6134
```